Here is a relaxed structure of Lu3Ag from the Alexandria database. Energies are from PBE.

The value obtained for the energy above the most stable polymorph in this dataset is 174 meV/atom. The density of states at the Fermi level comes out at 12.152 states/eV per cell. For the volume, the calculation gives 25.72 Å³/atom. For the formation enthalpy at 0 K, the calculation gives 49 meV per atom.

The structure belongs to space group Fm-3m (No. 225); the cell edges are 7.438, 7.438 and 7.438 Å and the angles 90.00°, 90.00° and 90.00°. The inequivalent atoms are Lu at (0.000, 0.000, 0.000), Lu at (0.250, 0.250, 0.250) and Ag at (0.000, 0.000, 0.500).